[1]
The following is a DFT calculation (GGA-PBE) of Na4Zr3TiSe8 after structural relaxation.

- Formation energy (no corrections): -122.8 kJ/mol of atoms
- Density: 4.77 g/cm³

Unit cell a=8.4206 b=8.4206 c=8.4206 alpha=54.07 beta=54.07 gamma=54.07
Fractional positions:
1 Na 0.0000 0.0000 0.0000
2 Na 0.0000 0.5000 0.5000
3 Na 0.5000 0.0000 0.5000
4 Na 0.5000 0.5000 0.0000
5 Zr 0.0000 0.0000 0.5000
6 Zr 0.0000 0.5000 0.0000
7 Zr 0.5000 0.0000 0.0000
8 Ti 0.5000 0.5000 0.5000
9 Se 0.2427 0.2427 0.2427
10 Se 0.2479 0.7372 0.7372
11 Se 0.2628 0.2628 0.7521
12 Se 0.2628 0.7521 0.2628
13 Se 0.7372 0.2479 0.7372
14 Se 0.7372 0.7372 0.2479
15 Se 0.7521 0.2628 0.2628
16 Se 0.7573 0.7573 0.7573

=====

[2]
The following is a DFT calculation (GGA-PBE) of Na3Zr2TiSe6 after structural relaxation.

- Formation energy (no corrections): -121.7 kJ/mol of atoms
- Density: 4.74 g/cm³

Unit cell a=6.6133 b=6.6133 c=7.4890 alpha=98.47 beta=98.47 gamma=120.03
Fractional positions:
1 Na 0.0000 0.0000 0.0000
2 Na 0.3301 0.6699 0.0000
3 Na 0.6699 0.3301 0.0000
4 Zr 0.1657 0.8343 0.5000
5 Zr 0.8343 0.1657 0.5000
6 Ti 0.5000 0.5000 0.5000
7 Se 0.1009 0.4263 0.2780
8 Se 0.2496 0.2496 0.7233
9 Se 0.4263 0.1009 0.2780
10 Se 0.5737 0.8991 0.7220
11 Se 0.7504 0.7504 0.2767
12 Se 0.8991 0.5737 0.7220

=====

[3]
The following is a DFT calculation (GGA-PBE) of Na2ZrTiSe4 after structural relaxation.

- Formation energy (no corrections): -119.4 kJ/mol of atoms
- Density: 4.64 g/cm³

Unit cell a=6.6146 b=3.8111 c=7.4433 alpha=90.00 beta=107.16 gamma=90.00
Fractional positions:
1 Na 0.0000 0.0000 0.0000
2 Na 0.5000 0.5000 0.0000
3 Zr 0.0000 0.5000 0.5000
4 Ti 0.5000 0.0000 0.5000
5 Se 0.2484 0.0000 0.7229
6 Se 0.2684 0.5000 0.2830
7 Se 0.7316 0.5000 0.7170
8 Se 0.7516 0.0000 0.2771

=====

Number 1: E_tot -5.4405 eV per atom. Number 2: E_tot -5.4159 eV per atom. Number 3: E_tot -5.3650 eV per atom.